VASP calculation (PBE) on a relaxed structure of Cd2AgAu.

abc: 4.7867 4.7867 4.7867
angles: 60.00 60.00 60.00
Sites, in units of the cell vectors:
Cd: 0.2500 0.2500 0.2500
Cd: 0.7500 0.7500 0.7500
Ag: 0.0000 0.0000 0.0000
Au: 0.5000 0.5000 0.5000

Calculated values
Energy above the lowest structure with this stoichiometry, eV per atom: 0.0014
Crystal system: cubic
Energy relative to the elements, eV/atom: -0.128